Record 1
Below is a geometry-optimized Ni3PCl structure, with properties calculated at the PBE level.

The value obtained for the total magnetic moment is 0.00 Bohr magnetons per cell. Its space-group type is Pm-3m, No. 221. The density of states at the Fermi level comes out at 0.7971 states/eV/atom. The calculation puts the distance to the lowest polymorph of the same formula at 486 meV per atom. The calculation puts the raw formation energy at 0.75 eV per atom.

CIF file:
```
data_Ni3PCl
_cell_length_a 4.1814
_cell_length_b 4.1814
_cell_length_c 4.1814
_cell_angle_alpha 90.00
_cell_angle_beta 90.00
_cell_angle_gamma 90.00
_space_group_name_H-M_alt 'P 1'
_space_group_IT_number 1
loop_
_space_group_symop_operation_xyz
'x,y,z'
loop_
_atom_site_label
_atom_site_type_symbol
_atom_site_fract_x
_atom_site_fract_y
_atom_site_fract_z
Ni1 Ni 0.0000 0.0000 0.5000
Ni2 Ni 0.0000 0.5000 0.0000
Ni3 Ni 0.5000 0.0000 0.0000
P1 P 0.5000 0.5000 0.5000
Cl1 Cl 0.0000 0.0000 0.0000
```

Record 2
Below is a geometry-optimized Na2Sr4Ca5 structure, with properties calculated at the PBE level.

The value obtained for the total magnetic moment is 0.00 Bohr magnetons per cell. For the energy of formation, the calculation gives 0.091 eV/atom. Its space-group type is C2/m, No. 12. The density of states at the Fermi level comes out at 0.9617 states/eV/atom.

CIF file:
```
data_Na2Sr4Ca5
_cell_length_a 13.5547
_cell_length_b 13.5547
_cell_length_c 9.9180
_cell_angle_alpha 96.65
_cell_angle_beta 96.65
_cell_angle_gamma 16.47
_space_group_name_H-M_alt 'P 1'
_space_group_IT_number 1
loop_
_space_group_symop_operation_xyz
'x,y,z'
loop_
_atom_site_label
_atom_site_type_symbol
_atom_site_fract_x
_atom_site_fract_y
_atom_site_fract_z
Na1 Na 0.0943 0.0943 0.2384
Na2 Na 0.9057 0.9057 0.7616
Sr1 Sr 0.0441 0.0441 0.8543
Sr2 Sr 0.3197 0.3197 0.0305
Sr3 Sr 0.6803 0.6803 0.9695
Sr4 Sr 0.9559 0.9559 0.1457
Ca1 Ca 0.1383 0.1383 0.6002
Ca2 Ca 0.2333 0.2333 0.3306
Ca3 Ca 0.5000 0.5000 0.5000
Ca4 Ca 0.7667 0.7667 0.6694
Ca5 Ca 0.8617 0.8617 0.3998
```

Record 3
Below is a geometry-optimized SrPmSbPd structure, with properties calculated at the PBE level.

The value obtained for the total magnetic moment is 0.00 Bohr magnetons per cell. Its space-group type is F-43m, No. 216. The density of states at the Fermi level comes out at 0.4238 states/eV/atom. The calculation puts the raw formation energy at -0.76 eV per atom.

CIF file:
```
data_SrPmSbPd
_cell_length_a 7.6113
_cell_length_b 7.6113
_cell_length_c 7.6113
_cell_angle_alpha 90.00
_cell_angle_beta 90.00
_cell_angle_gamma 90.00
_space_group_name_H-M_alt 'P 1'
_space_group_IT_number 1
loop_
_space_group_symop_operation_xyz
'x,y,z'
loop_
_atom_site_label
_atom_site_type_symbol
_atom_site_fract_x
_atom_site_fract_y
_atom_site_fract_z
Sr1 Sr 0.0000 0.0000 0.0000
Sr2 Sr 0.0000 0.5000 0.5000
Sr3 Sr 0.5000 0.0000 0.5000
Sr4 Sr 0.5000 0.5000 0.0000
Pm1 Pm 0.0000 0.0000 0.5000
Pm2 Pm 0.0000 0.5000 0.0000
Pm3 Pm 0.5000 0.0000 0.0000
Pm4 Pm 0.5000 0.5000 0.5000
Sb1 Sb 0.2500 0.2500 0.2500
Sb2 Sb 0.2500 0.7500 0.7500
Sb3 Sb 0.7500 0.2500 0.7500
Sb4 Sb 0.7500 0.7500 0.2500
Pd1 Pd 0.2500 0.2500 0.7500
Pd2 Pd 0.2500 0.7500 0.2500
Pd3 Pd 0.7500 0.2500 0.2500
Pd4 Pd 0.7500 0.7500 0.7500
```

Record 4
Below is a geometry-optimized Pt2C structure, with properties calculated at the PBE level.

The value obtained for the total magnetic moment is 0.00 Bohr magnetons per cell. For the energy of formation, the calculation gives 0.970 eV/atom. Its space-group type is Cmmm, No. 65. The density of states at the Fermi level comes out at 0.4900 states/eV/atom. The calculation puts the distance to the lowest polymorph of the same formula at 413 meV per atom.

CIF file:
```
data_Pt2C
_cell_length_a 5.5985
_cell_length_b 10.6527
_cell_length_c 2.9138
_cell_angle_alpha 90.00
_cell_angle_beta 90.00
_cell_angle_gamma 90.00
_space_group_name_H-M_alt 'P 1'
_space_group_IT_number 1
loop_
_space_group_symop_operation_xyz
'x,y,z'
loop_
_atom_site_label
_atom_site_type_symbol
_atom_site_fract_x
_atom_site_fract_y
_atom_site_fract_z
Pt1 Pt 0.0000 0.0000 0.0000
Pt2 Pt 0.0000 0.2285 0.5000
Pt3 Pt 0.0000 0.5000 0.5000
Pt4 Pt 0.0000 0.7715 0.5000
Pt5 Pt 0.5000 0.0000 0.5000
Pt6 Pt 0.5000 0.2715 0.5000
Pt7 Pt 0.5000 0.5000 0.0000
Pt8 Pt 0.5000 0.7285 0.5000
C1 C 0.0000 0.3549 0.0000
C2 C 0.0000 0.6451 0.0000
C3 C 0.5000 0.1451 0.0000
C4 C 0.5000 0.8549 0.0000
```